Compound: LuZrNb
Source: Alexandria
Functional: GGA-PBE
Structure: relaxed

Cell: 3.6567 3.6567 10.5021 Å, 90.00 90.00 90.00°
Sites, in units of the cell vectors:
Lu: 0.0000 0.0000 0.0000
Lu: 0.5000 0.5000 0.5000
Zr: 0.0000 0.0000 0.2990
Zr: 0.5000 0.5000 0.7990
Nb: 0.0000 0.0000 0.6890
Nb: 0.5000 0.5000 0.1890

* spin magnetization: 0.00 μB/f.u.
* formation enthalpy at 0 K: 0.122 eV/atom
* total DFT energy (no corrections): -7.59 eV/atom
* DOS(E_F): 6.0 states/eV per cell
* energy relative to the lowest polymorph listed for this composition: 0.000 eV per atom
* space group: I4mm, No. 107